1.
The following is a DFT calculation (PBEsol) of a geometry-optimized SbAs2Au structure.

Cell: 3.908 3.908 5.527 Å, 90.00 90.00 90.00°
Element x y z (fractional)
Sb (0.000, 0.000, 0.000)
As (0.000, 0.000, 0.500)
As (0.500, 0.500, 0.500)
Au (0.500, 0.500, 0.000)

Output
* uncorrected energy: -4.63 eV per atom
* total magnetic moment: 0.000 μB/atom


2.
The following is a DFT calculation (PBEsol) of a geometry-optimized FeOs3 structure.

Cell: 4.587 4.587 2.663 Å, 90.00 90.00 109.49°
Element x y z (fractional)
Fe (0.000, 0.000, 0.000)
Os (0.000, 0.500, 0.500)
Os (0.500, 0.000, 0.500)
Os (0.500, 0.500, 0.000)

Output
* uncorrected energy: -11.22 eV per atom
* total magnetic moment: 0.156 μB/atom


3.
The following is a DFT calculation (PBEsol) of a geometry-optimized TlAg2Ru structure.

Cell: 4.572 4.572 4.572 Å, 119.95 119.95 90.08°
Element x y z (fractional)
Tl (0.000, 0.000, 0.000)
Ag (0.500, 0.500, 0.000)
Ag (0.750, 0.250, 0.500)
Ru (0.250, 0.750, 0.500)

Output
* uncorrected energy: -4.42 eV per atom
* total magnetic moment: 0.000 μB/atom


4.
The following is a DFT calculation (PBEsol) of a geometry-optimized BaCdH2W structure.

Cell: 4.206 4.206 6.667 Å, 90.00 90.00 90.00°
Element x y z (fractional)
Ba (0.000, 0.000, 0.000)
Cd (0.000, 0.000, 0.500)
H (0.000, 0.500, 0.500)
H (0.500, 0.000, 0.500)
W (0.500, 0.500, 0.000)

Output
* uncorrected energy: -3.01 eV per atom
* total magnetic moment: 0.739 μB/atom